## NaCoPO4 (GGA+U)

Data for an optimized crystal structure of NaCoPO4.

The structure belongs to space group Pnma (No. 62); the cell edges are 8.9713, 6.8672 and 5.0782 Å and the angles 90.00°, 90.00° and 90.00°. The inequivalent atoms are Na at (0.1489, 0.2500, 0.0331), Co at (0.0000, 0.0000, 0.5000), P at (0.1765, 0.7500, 0.0389), O at (0.1165, 0.7500, 0.7507), O at (0.1220, 0.5656, 0.1843) and O at (0.1476, 0.2500, 0.5502).

The value obtained for the total magnetization is 3.0 μB per formula unit. The total DFT energy (no corrections) comes out at -6.471 eV per atom. The crystal system is orthorhombic.